1.
HfCo | GGA-PBE | relaxed

a b c (Å): 3.164 3.164 3.164
angles (deg): 90.00 90.00 90.00
Element x y z (fractional)
Hf  0.000  0.000  0.000
Co  0.500  0.500  0.500

## Properties
**DFT formation energy**: -0.387 eV per atom
**DFT total energy**: -17.836 eV for the cell shown
**V**: 31.7 Å³/cell
**Total magnetization**: 0.156 μB per cell

***

2.
Zr2ScIn | GGA-PBE | relaxed

a b c (Å): 5.070 10.312 6.995
angles (deg): 90.00 90.00 90.00
Element x y z (fractional)
Zr  0.250  0.106  0.000
Zr  0.250  0.391  0.764
Zr  0.250  0.606  0.500
Zr  0.250  0.891  0.264
Zr  0.750  0.109  0.264
Zr  0.750  0.394  0.500
Zr  0.750  0.609  0.764
Zr  0.750  0.894  0.000
Sc  0.250  0.109  0.545
Sc  0.250  0.609  0.045
Sc  0.750  0.391  0.045
Sc  0.750  0.891  0.545
In  0.250  0.340  0.269
In  0.250  0.840  0.769
In  0.750  0.160  0.769
In  0.750  0.660  0.269

## Properties
**DFT total energy**: -107.759 eV for the cell shown
**V**: 365.7 Å³/cell
**Total magnetization**: 0.012 μB per cell

***

3.
Er3Mg3TlIr2 | GGA-PBE | relaxed

a b c (Å): 7.358 7.358 4.182
angles (deg): 90.00 90.00 120.00
Element x y z (fractional)
Er  0.000  0.574  0.000
Er  0.426  0.426  0.000
Er  0.574  0.000  0.000
Mg  0.000  0.262  0.500
Mg  0.262  0.000  0.500
Mg  0.738  0.738  0.500
Tl  0.000  0.000  0.000
Ir  0.333  0.667  0.500
Ir  0.667  0.333  0.500

## Properties
**DFT total energy**: -42.822 eV for the cell shown
**V**: 196.1 Å³/cell
**Total magnetization**: 0.010 μB per cell

***

4.
Lu2Nb | GGA-PBE | relaxed

a b c (Å): 8.673 8.673 8.673
angles (deg): 60.00 60.00 60.00
Element x y z (fractional)
Lu  0.000  0.000  0.000
Lu  0.000  0.000  0.500
Lu  0.000  0.500  0.000
Lu  0.500  0.000  0.000
Nb  0.125  0.125  0.125
Nb  0.875  0.875  0.875

## Properties
**Relative energy among the computed polymorphs**: 1544 meV per atom
**DFT formation energy**: 2.370 eV per atom
**DFT total energy**: -24.063 eV for the cell shown
**V**: 461.3 Å³/cell
**Total magnetization**: 4.912 μB per cell

***

> Among the records above, which one has the lowest DFT total energy?

Zr2ScIn

***

> What is the formula in the fourth record?

Lu2Nb